(1)
Material: Pa3Co5S12
Method: DFT, PBE
State: optimized geometry

a = 12.4015 Å, b = 12.4015 Å, c = 12.4015 Å
α = 109.47°, β = 109.47°, γ = 109.47°
Each line ends with the local moment (μB).
Atoms (fractional coordinates):
1 S 0.1169 0.7043 0.5286  0.05
2 S 0.0874 0.1757 0.2043  0.05
3 Co 0.1250 0.3750 0.2500  1.52
4 Pa 0.2500 0.1250 0.3750  0.12
5 Co 0.3750 0.2500 0.1250  1.52
6 Co 0.8750 0.2500 0.6250  1.52
7 Co 0.5000 0.5000 0.0000  -0.02
8 S 0.4117 0.3831 0.5874  0.05
9 S 0.1757 0.0874 0.7043  0.05
10 Co 0.7500 0.6250 0.3750  1.52
11 Pa 0.7500 0.3750 0.1250  0.12
12 S 0.3243 0.7957 0.4126  0.05
13 S 0.2043 0.6757 0.0874  0.05
14 Co 0.6250 0.8750 0.2500  1.52
15 S 0.7043 0.5874 0.1757  0.05
16 Co 0.8750 0.6250 0.7500  1.52
17 S 0.9126 0.8243 0.7957  0.05
18 Pa 0.6250 0.2500 0.3750  0.12
19 S 0.7043 0.1169 0.0286  0.05
20 Pa 0.1250 0.8750 0.7500  0.12
21 S 0.2957 0.4126 0.8243  0.05
22 Co 0.2500 0.8750 0.1250  1.52
23 S 0.3243 0.5286 0.4117  0.05
24 Co 0.5000 0.0000 0.0000  -0.02
25 S 0.6169 0.0286 0.2043  0.05
26 Pa 0.6250 0.3750 0.7500  0.12
27 Co 0.0000 0.0000 0.5000  -0.02
28 S 0.8831 0.5874 0.9117  0.05
29 Co 0.3750 0.1250 0.7500  1.52
30 S 0.1757 0.0883 0.9714  0.05
31 S 0.4714 0.7957 0.8831  0.05
32 S 0.4126 0.2957 0.3243  0.05
33 Pa 0.1250 0.2500 0.8750  0.12
34 S 0.0286 0.4117 0.8243  0.05
35 S 0.5874 0.8831 0.4117  0.05
36 S 0.0883 0.9126 0.1169  0.05
37 S 0.8831 0.2957 0.4714  0.05
38 S 0.9117 0.0874 0.8831  0.05
39 S 0.7957 0.3243 0.9126  0.05
40 S 0.4126 0.1169 0.5883  0.05
41 S 0.0286 0.6169 0.7043  0.05
42 S 0.0883 0.1757 0.4714  0.05
43 S 0.8243 0.9126 0.2957  0.05
44 S 0.5286 0.3243 0.9117  0.05
45 S 0.4714 0.6757 0.0883  0.05
46 S 0.5883 0.9714 0.6757  0.05
47 S 0.6757 0.4714 0.5883  0.05
48 S 0.7957 0.4714 0.3831  0.05
49 Pa 0.3750 0.7500 0.6250  0.12
50 S 0.5883 0.6169 0.4126  0.05
51 Co 0.0000 0.5000 0.5000  -0.02
52 Pa 0.3750 0.6250 0.2500  0.12
53 S 0.9117 0.8243 0.5286  0.05
54 Co 0.0000 0.0000 0.0000  -0.02
55 S 0.9714 0.3831 0.2957  0.05
56 S 0.9126 0.0883 0.6169  0.05
57 Pa 0.8750 0.7500 0.1250  0.12
58 S 0.8243 0.9117 0.0286  0.05
59 Co 0.7500 0.1250 0.8750  1.52
60 Co 0.1250 0.7500 0.3750  1.52
61 Pa 0.8750 0.1250 0.2500  0.12
62 S 0.6757 0.2043 0.5874  0.05
63 S 0.2957 0.8831 0.9714  0.05
64 Co 0.2500 0.3750 0.6250  1.52
65 S 0.3831 0.9714 0.7957  0.05
66 S 0.0874 0.9117 0.3831  0.05
67 S 0.4117 0.0286 0.3243  0.05
68 S 0.9714 0.5883 0.1757  0.05
69 Co 0.5000 0.0000 0.5000  -0.02
70 S 0.2043 0.5286 0.6169  0.05
71 Pa 0.2500 0.6250 0.8750  0.12
72 S 0.1169 0.4126 0.0883  0.05
73 S 0.5286 0.2043 0.1169  0.05
74 Co 0.6250 0.7500 0.8750  1.52
75 S 0.5874 0.7043 0.6757  0.05
76 S 0.3831 0.4117 0.0874  0.05
77 S 0.6169 0.5883 0.9126  0.05
78 Pa 0.7500 0.8750 0.6250  0.12
79 Co 0.0000 0.5000 0.0000  -0.02
80 Co 0.5000 0.5000 0.5000  -0.02

Output
DOS at the Fermi energy, states/eV/cell: 64.73
Uncorrected formation energy, eV/atom: -0.92

---

(2)
Material: Na2TiSi4Pt3
Method: DFT, PBE
State: optimized geometry

a = 4.1709 Å, b = 4.1709 Å, c = 10.2308 Å
α = 90.00°, β = 90.00°, γ = 90.00°
Atoms (fractional coordinates):
1 Si 0.0000 0.0000 0.0000
2 Si 0.5000 0.5000 0.0000
3 Si 0.5000 0.0000 0.6379
4 Ti 0.5000 0.5000 0.5000
5 Na 0.5000 0.0000 0.2502
6 Na 0.0000 0.5000 0.7498
7 Si 0.0000 0.5000 0.3621
8 Pt 0.0000 0.0000 0.5000
9 Pt 0.0000 0.5000 0.1226
10 Pt 0.5000 0.0000 0.8774

Output
DOS at the Fermi energy, states/eV/cell: 7.32
Uncorrected formation energy, eV/atom: -0.52

---

(3)
Material: Y2TaTe
Method: DFT, PBE
State: optimized geometry

a = 3.8016 Å, b = 3.8171 Å, c = 7.0111 Å
α = 90.00°, β = 90.00°, γ = 90.00°
Atoms (fractional coordinates):
1 Te 0.5000 0.5000 0.7500
2 Y 0.0000 0.0000 0.4954
3 Y 0.0000 0.0000 0.0046
4 Ta 0.5000 0.5000 0.2500

Output
DOS at the Fermi energy, states/eV/cell: 5.95
Uncorrected formation energy, eV/atom: -0.24

---

(4)
Material: NpIn2Ge
Method: DFT, PBE
State: optimized geometry

a = 4.8883 Å, b = 4.3391 Å, c = 4.3391 Å
α = 90.00°, β = 90.00°, γ = 90.00°
Each line ends with the local moment (μB).
Atoms (fractional coordinates):
1 Np 0.5000 0.0000 0.0000  3.83
2 In 0.0000 0.0000 0.5000  0.01
3 In 0.0000 0.5000 0.0000  0.01
4 Ge 0.5000 0.5000 0.5000  -0.02

Output
DOS at the Fermi energy, states/eV/cell: 8.59
DFT formation energy, eV per atom: -0.074

---

Sequential total moment output: 24.07; 0.00; 0.00; 4.08 μB/cell
Sequential ρ output: 6.2; 7.4; 7.9; 9.7 Mg/m³